# ZnRe4Ru, relaxed, DFT GGA-PBE
data_ZnRe4Ru
_chemical_formula_sum 'Zn1 Re4 Ru1'
_symmetry_space_group_name_H-M 'P 1'
_symmetry_Int_Tables_number 1
_cell_length_a 5.143
_cell_length_b 5.143
_cell_length_c 5.143
_cell_angle_alpha 60.00
_cell_angle_beta 60.00
_cell_angle_gamma 60.00
loop_
_symmetry_equiv_pos_as_xyz
'x,y,z'
loop_
_atom_site_label
_atom_site_fract_x
_atom_site_fract_y
_atom_site_fract_z
Zn1 0.000 0.000 0.000
Re1 0.374 0.374 0.374
Re2 0.374 0.374 0.878
Re3 0.374 0.878 0.374
Re4 0.878 0.374 0.374
Ru1 0.750 0.750 0.750
# ΔH_f (0 K) ... 0.538 eV per atom
# Space group ... F-43m, No. 216

# ZnReRu2, relaxed, DFT GGA-PBE
data_ZnReRu2
_chemical_formula_sum 'Zn1 Re1 Ru2'
_symmetry_space_group_name_H-M 'P 1'
_symmetry_Int_Tables_number 1
_cell_length_a 2.773
_cell_length_b 3.737
_cell_length_c 5.480
_cell_angle_alpha 90.00
_cell_angle_beta 90.00
_cell_angle_gamma 90.00
loop_
_symmetry_equiv_pos_as_xyz
'x,y,z'
loop_
_atom_site_label
_atom_site_fract_x
_atom_site_fract_y
_atom_site_fract_z
Zn1 0.000 0.000 0.000
Re1 0.000 0.000 0.500
Ru1 0.500 0.500 0.251
Ru2 0.500 0.500 0.749
# ΔH_f (0 K) ... 0.067 eV per atom
# Space group ... Pmmm, No. 47

# ZnReRu2, relaxed, DFT GGA-PBE
data_ZnReRu2
_chemical_formula_sum 'Zn1 Re1 Ru2'
_symmetry_space_group_name_H-M 'P 1'
_symmetry_Int_Tables_number 1
_cell_length_a 2.764
_cell_length_b 2.764
_cell_length_c 8.816
_cell_angle_alpha 98.96
_cell_angle_beta 98.96
_cell_angle_gamma 59.96
loop_
_symmetry_equiv_pos_as_xyz
'x,y,z'
loop_
_atom_site_label
_atom_site_fract_x
_atom_site_fract_y
_atom_site_fract_z
Zn1 0.000 0.000 0.000
Re1 0.833 0.833 0.501
Ru1 0.248 0.248 0.747
Ru2 0.418 0.418 0.253
# ΔH_f (0 K) ... -0.001 eV per atom
# Space group ... Cm, No. 8

# ZnReRu2, relaxed, DFT GGA-PBE
data_ZnReRu2
_chemical_formula_sum 'Zn1 Re1 Ru2'
_symmetry_space_group_name_H-M 'P 1'
_symmetry_Int_Tables_number 1
_cell_length_a 8.899
_cell_length_b 8.899
_cell_length_c 8.899
_cell_angle_alpha 17.78
_cell_angle_beta 17.78
_cell_angle_gamma 17.78
loop_
_symmetry_equiv_pos_as_xyz
'x,y,z'
loop_
_atom_site_label
_atom_site_fract_x
_atom_site_fract_y
_atom_site_fract_z
Zn1 0.000 0.000 0.000
Re1 0.500 0.500 0.500
Ru1 0.249 0.249 0.249
Ru2 0.751 0.751 0.751
# ΔH_f (0 K) ... 0.003 eV per atom
# Space group ... R-3m, No. 166

# ZnReRu2, relaxed, DFT GGA-PBE
data_ZnReRu2
_chemical_formula_sum 'Zn1 Re1 Ru2'
_symmetry_space_group_name_H-M 'P 1'
_symmetry_Int_Tables_number 1
_cell_length_a 4.661
_cell_length_b 4.661
_cell_length_c 4.736
_cell_angle_alpha 99.22
_cell_angle_beta 99.22
_cell_angle_gamma 34.16
loop_
_symmetry_equiv_pos_as_xyz
'x,y,z'
loop_
_atom_site_label
_atom_site_fract_x
_atom_site_fract_y
_atom_site_fract_z
Zn1 0.000 0.000 0.000
Re1 0.500 0.500 0.500
Ru1 0.244 0.244 0.746
Ru2 0.756 0.756 0.254
# ΔH_f (0 K) ... 0.139 eV per atom
# Space group ... C2/m, No. 12

# ZnRe3Ru, relaxed, DFT GGA-PBE
data_ZnRe3Ru
_chemical_formula_sum 'Zn1 Re3 Ru1'
_symmetry_space_group_name_H-M 'P 1'
_symmetry_Int_Tables_number 1
_cell_length_a 4.666
_cell_length_b 4.666
_cell_length_c 4.666
_cell_angle_alpha 90.00
_cell_angle_beta 90.00
_cell_angle_gamma 90.00
loop_
_symmetry_equiv_pos_as_xyz
'x,y,z'
loop_
_atom_site_label
_atom_site_fract_x
_atom_site_fract_y
_atom_site_fract_z
Zn1 0.000 0.000 0.000
Re1 0.000 0.500 0.500
Re2 0.500 0.000 0.500
Re3 0.500 0.500 0.000
Ru1 0.500 0.500 0.500
# ΔH_f (0 K) ... 2.196 eV per atom
# Energy above the most stable polymorph in this dataset ... 70.1 meV/atom
# Space group ... Pm-3m, No. 221

# ZnReRu2, relaxed, DFT GGA-PBE
data_ZnReRu2
_chemical_formula_sum 'Zn1 Re1 Ru2'
_symmetry_space_group_name_H-M 'P 1'
_symmetry_Int_Tables_number 1
_cell_length_a 2.699
_cell_length_b 2.699
_cell_length_c 8.864
_cell_angle_alpha 90.00
_cell_angle_beta 90.00
_cell_angle_gamma 115.89
loop_
_symmetry_equiv_pos_as_xyz
'x,y,z'
loop_
_atom_site_label
_atom_site_fract_x
_atom_site_fract_y
_atom_site_fract_z
Zn1 0.000 0.000 0.000
Re1 0.000 0.000 0.500
Ru1 0.500 0.500 0.250
Ru2 0.500 0.500 0.750
# ΔH_f (0 K) ... 0.242 eV per atom
# Space group ... Cmmm, No. 65

# ZnReRu2, relaxed, DFT GGA-PBE
data_ZnReRu2
_chemical_formula_sum 'Zn1 Re1 Ru2'
_symmetry_space_group_name_H-M 'P 1'
_symmetry_Int_Tables_number 1
_cell_length_a 2.825
_cell_length_b 2.825
_cell_length_c 7.118
_cell_angle_alpha 90.00
_cell_angle_beta 90.00
_cell_angle_gamma 90.00
loop_
_symmetry_equiv_pos_as_xyz
'x,y,z'
loop_
_atom_site_label
_atom_site_fract_x
_atom_site_fract_y
_atom_site_fract_z
Zn1 0.000 0.000 0.000
Re1 0.000 0.000 0.500
Ru1 0.500 0.500 0.251
Ru2 0.500 0.500 0.749
# ΔH_f (0 K) ... -0.015 eV per atom
# Space group ... P4/mmm, No. 123

# ZnReRu2, relaxed, DFT GGA-PBE
data_ZnReRu2
_chemical_formula_sum 'Zn1 Re1 Ru2'
_symmetry_space_group_name_H-M 'P 1'
_symmetry_Int_Tables_number 1
_cell_length_a 2.805
_cell_length_b 4.464
_cell_length_c 4.589
_cell_angle_alpha 90.00
_cell_angle_beta 90.00
_cell_angle_gamma 90.00
loop_
_symmetry_equiv_pos_as_xyz
'x,y,z'
loop_
_atom_site_label
_atom_site_fract_x
_atom_site_fract_y
_atom_site_fract_z
Zn1 0.000 0.000 0.000
Re1 0.500 0.000 0.500
Ru1 0.000 0.500 0.500
Ru2 0.500 0.500 0.000
# ΔH_f (0 K) ... 0.372 eV per atom
# Space group ... Pmmm, No. 47

# ZnReRu2, relaxed, DFT GGA-PBE
data_ZnReRu2
_chemical_formula_sum 'Zn1 Re1 Ru2'
_symmetry_space_group_name_H-M 'P 1'
_symmetry_Int_Tables_number 1
_cell_length_a 4.392
_cell_length_b 4.392
_cell_length_c 2.962
_cell_angle_alpha 90.00
_cell_angle_beta 90.00
_cell_angle_gamma 90.00
loop_
_symmetry_equiv_pos_as_xyz
'x,y,z'
loop_
_atom_site_label
_atom_site_fract_x
_atom_site_fract_y
_atom_site_fract_z
Zn1 0.000 0.000 0.000
Re1 0.500 0.500 0.000
Ru1 0.000 0.500 0.500
Ru2 0.500 0.000 0.500
# ΔH_f (0 K) ... 0.181 eV per atom
# Space group ... P4/mmm, No. 123

# ZnReRu2, relaxed, DFT GGA-PBE
data_ZnReRu2
_chemical_formula_sum 'Zn1 Re1 Ru2'
_symmetry_space_group_name_H-M 'P 1'
_symmetry_Int_Tables_number 1
_cell_length_a 4.334
_cell_length_b 4.334
_cell_length_c 4.334
_cell_angle_alpha 60.00
_cell_angle_beta 60.00
_cell_angle_gamma 60.00
loop_
_symmetry_equiv_pos_as_xyz
'x,y,z'
loop_
_atom_site_label
_atom_site_fract_x
_atom_site_fract_y
_atom_site_fract_z
Zn1 0.000 0.000 0.000
Re1 0.250 0.250 0.250
Ru1 0.500 0.500 0.500
Ru2 0.750 0.750 0.750
# ΔH_f (0 K) ... 0.402 eV per atom
# Space group ... F-43m, No. 216

# ZnReRu4, relaxed, DFT GGA-PBE
data_ZnReRu4
_chemical_formula_sum 'Zn1 Re1 Ru4'
_symmetry_space_group_name_H-M 'P 1'
_symmetry_Int_Tables_number 1
_cell_length_a 5.036
_cell_length_b 5.036
_cell_length_c 5.036
_cell_angle_alpha 60.00
_cell_angle_beta 60.00
_cell_angle_gamma 60.00
loop_
_symmetry_equiv_pos_as_xyz
'x,y,z'
loop_
_atom_site_label
_atom_site_fract_x
_atom_site_fract_y
_atom_site_fract_z
Zn1 0.000 0.000 0.000
Re1 0.750 0.750 0.750
Ru1 0.375 0.375 0.375
Ru2 0.375 0.375 0.876
Ru3 0.375 0.876 0.375
Ru4 0.876 0.375 0.375
# ΔH_f (0 K) ... 0.530 eV per atom
# Space group ... F-43m, No. 216

# ZnReRu2, relaxed, DFT GGA-PBE
data_ZnReRu2
_chemical_formula_sum 'Zn1 Re1 Ru2'
_symmetry_space_group_name_H-M 'P 1'
_symmetry_Int_Tables_number 1
_cell_length_a 4.773
_cell_length_b 4.773
_cell_length_c 4.636
_cell_angle_alpha 100.86
_cell_angle_beta 100.86
_cell_angle_gamma 33.56
loop_
_symmetry_equiv_pos_as_xyz
'x,y,z'
loop_
_atom_site_label
_atom_site_fract_x
_atom_site_fract_y
_atom_site_fract_z
Zn1 0.000 0.000 0.000
Re1 0.761 0.761 0.300
Ru1 0.247 0.247 0.801
Ru2 0.511 0.511 0.497
# ΔH_f (0 K) ... 0.125 eV per atom
# Space group ... Cm, No. 8

# ZnReRu3, relaxed, DFT GGA-PBE
data_ZnReRu3
_chemical_formula_sum 'Zn1 Re1 Ru3'
_symmetry_space_group_name_H-M 'P 1'
_symmetry_Int_Tables_number 1
_cell_length_a 4.667
_cell_length_b 4.667
_cell_length_c 4.667
_cell_angle_alpha 90.00
_cell_angle_beta 90.00
_cell_angle_gamma 90.00
loop_
_symmetry_equiv_pos_as_xyz
'x,y,z'
loop_
_atom_site_label
_atom_site_fract_x
_atom_site_fract_y
_atom_site_fract_z
Zn1 0.000 0.000 0.000
Re1 0.500 0.500 0.500
Ru1 0.000 0.500 0.500
Ru2 0.500 0.000 0.500
Ru3 0.500 0.500 0.000
# ΔH_f (0 K) ... 1.571 eV per atom
# Energy above the most stable polymorph in this dataset ... 0.0 meV/atom
# Space group ... Pm-3m, No. 221